1.
The following is a DFT calculation (PBE) of a relaxed structure of Tb2ScGaC.

Structure (extended XYZ):
```
5
Lattice="-3.640 2.079 1.631 -1.991 -4.345 1.095 2.082 0.164 4.436" Properties=species:S:1:pos:R:3 pbc="T T T"
C 0.000 0.000 0.000
Sc -1.820 1.040 0.816
Tb -0.996 -2.173 0.548
Tb 1.041 0.082 2.218
Ga -1.774 -1.051 3.581
```

symmetry = P4/mmm
DFT formation energy = -496 meV/atom
DFT total energy = -30.321 eV/cell

2.
The following is a DFT calculation (PBE) of a relaxed structure of Th6HgP3Se2.

Structure (extended XYZ):
```
12
Lattice="4.141 0.000 0.000 0.000 8.592 0.237 -2.071 -2.547 8.887" Properties=species:S:1:pos:R:3 pbc="T T T"
Th 0.000 6.330 6.024
Th 2.071 4.276 2.999
Th 0.000 6.269 0.230
Th 2.071 -0.285 3.099
Th 2.071 -0.224 8.893
Th 0.000 1.769 6.125
Se 2.071 4.040 6.046
Se 0.000 2.005 3.077
Hg 2.071 0.000 0.000
P 2.071 4.296 0.118
P 2.071 -0.238 5.982
P 0.000 6.283 3.141
```

symmetry = C2/m
DFT total energy = -83.884 eV/cell

3.
The following is a DFT calculation (PBE) of a relaxed structure of SrZrI2.

Structure (extended XYZ):
```
4
Lattice="0.000 3.825 3.825 3.825 0.000 3.825 3.825 3.825 0.000" Properties=species:S:1:pos:R:3 pbc="T T T"
I 1.912 1.912 1.912
I 5.737 5.737 5.737
Sr 0.000 0.000 0.000
Zr 3.825 3.825 3.825
```

symmetry = Fm-3m
relative energy among the computed polymorphs = 0 meV per atom
DFT total energy = -14.812 eV/cell

4.
The following is a DFT calculation (PBE) of a relaxed structure of YMg9Ag3.

Structure (extended XYZ):
```
13
Lattice="5.195 0.021 2.109 2.526 7.089 1.025 -0.060 0.010 7.602" Properties=species:S:1:pos:R:3 pbc="T T T"
Mg 4.529 5.624 3.480
Mg 1.263 3.544 0.513
Mg 2.047 1.485 2.473
Mg 3.439 4.698 6.331
Mg 3.132 1.496 7.255
Mg 6.819 4.709 5.459
Mg 0.842 2.411 5.277
Mg 5.613 5.635 8.263
Mg 4.221 2.422 4.404
Ag 2.567 0.016 4.855
Ag 3.860 3.555 1.567
Ag -0.030 0.005 3.801
Y 0.000 0.000 0.000
```

symmetry = C2/m
DFT formation energy = -151 meV/atom
DFT total energy = -31.329 eV/cell

5.
The following is a DFT calculation (PBE) of a relaxed structure of RbSCl3.

Structure (extended XYZ):
```
5
Lattice="6.260 0.000 0.000 0.000 6.260 0.000 0.000 0.000 6.260" Properties=species:S:1:pos:R:3 pbc="T T T"
S 3.130 3.130 3.130
Rb 0.000 0.000 0.000
Cl 0.000 3.130 0.000
Cl 0.000 0.000 3.130
Cl 3.130 0.000 0.000
```

symmetry = Pm-3m
relative energy among the computed polymorphs = 1079 meV per atom
DFT total energy = -9.370 eV/cell

6.
The following is a DFT calculation (PBE) of a relaxed structure of NbPtC2.

Structure (extended XYZ):
```
8
Lattice="-4.073 1.413 -2.080 -2.247 -0.268 4.218 -2.027 5.158 1.965" Properties=species:S:1:pos:R:3 pbc="T T T"
C -2.390 1.288 2.883
C -3.364 2.149 -0.297
C -7.067 4.868 3.376
C -3.873 4.300 2.244
Nb -3.160 0.572 1.069
Nb -3.717 2.731 3.626
Pt -4.630 3.571 0.477
Pt 0.000 0.000 0.000
```

symmetry = I-42d
relative energy among the computed polymorphs = 0 meV per atom
DFT formation energy = 547 meV/atom
DFT total energy = -64.744 eV/cell

7.
The following is a DFT calculation (PBE) of a relaxed structure of AcSmEr2Bi4.

Structure (extended XYZ):
```
8
Lattice="4.595 0.000 0.000 0.000 7.932 -0.152 0.000 2.796 7.447" Properties=species:S:1:pos:R:3 pbc="T T T"
Bi 4.595 2.568 1.934
Bi 2.297 3.964 5.525
Bi 0.000 8.161 5.360
Bi 2.297 6.765 1.769
Er 0.000 2.796 7.447
Er 2.297 1.398 3.723
Sm 0.000 5.364 3.647
Ac 2.297 3.966 -0.076
```

symmetry = P2/m
DFT formation energy = -866 meV/atom
DFT total energy = -40.403 eV/cell

8.
The following is a DFT calculation (PBE) of a relaxed structure of CaMoRu2.

Structure (extended XYZ):
```
4
Lattice="3.157 0.001 0.000 0.000 3.157 0.000 0.000 0.000 7.024" Properties=species:S:1:pos:R:3 pbc="T T T"
Mo 1.578 1.579 5.268
Ru 0.000 0.000 6.704
Ru 0.000 0.000 3.832
Ca 1.578 1.579 1.756
```

symmetry = P4/mmm
relative energy among the computed polymorphs = 0 meV per atom
DFT formation energy = 148 meV/atom
DFT total energy = -30.794 eV/cell

9.
The following is a DFT calculation (PBE) of a relaxed structure of Ca4Hg2Au5.

Structure (extended XYZ):
```
11
Lattice="-3.764 0.093 -0.283 0.347 -4.672 -6.146 -0.749 -5.454 8.152" Properties=species:S:1:pos:R:3 pbc="T T T"
Hg -0.259 -2.887 2.489
Hg -0.143 -7.239 -0.483
Au 0.174 -2.336 -3.073
Au -0.309 -5.815 2.186
Au 0.236 -4.835 -4.721
Au -0.638 -5.291 6.727
Au -0.093 -4.311 -0.179
Ca -1.904 -1.921 -0.503
Ca -1.827 -4.995 -2.536
Ca -2.263 -8.111 2.225
Ca -2.340 -5.037 4.259
```

symmetry = P2/m
DFT formation energy = -658 meV/atom
DFT total energy = -32.231 eV/cell

10.
The following is a DFT calculation (PBE) of a relaxed structure of CoOs.

Structure (extended XYZ):
```
8
Lattice="4.457 0.000 -0.024 0.000 2.644 0.000 -1.525 0.000 8.548" Properties=species:S:1:pos:R:3 pbc="T T T"
Os 2.938 0.000 5.310
Os 3.700 1.322 1.036
Os -0.767 1.322 7.488
Os -0.005 0.000 3.214
Co 2.175 1.322 3.181
Co 0.757 1.322 5.343
Co 1.413 0.000 7.455
Co 1.519 0.000 1.069
```

symmetry = C2/m
DFT formation energy = 147 meV/atom
DFT total energy = -72.166 eV/cell

11.
The following is a DFT calculation (PBE) of a relaxed structure of BeNbBOs2.

Structure (extended XYZ):
```
5
Lattice="-0.442 3.781 1.323 -2.126 -1.453 3.442 3.475 -0.301 2.020" Properties=species:S:1:pos:R:3 pbc="T T T"
B 0.453 1.014 3.393
Be 0.000 0.000 0.000
Nb -1.063 -0.727 1.721
Os 1.737 -0.150 1.010
Os -0.221 1.891 0.662
```

symmetry = P4/mmm
DFT formation energy = 1261 meV/atom
DFT total energy = -36.630 eV/cell

12.
The following is a DFT calculation (PBE) of a relaxed structure of Tb2PrScS6.

Structure (extended XYZ):
```
10
Lattice="6.915 0.001 0.001 3.458 5.989 0.001 3.458 1.997 6.145" Properties=species:S:1:pos:R:3 pbc="T T T"
S 7.835 5.757 4.650
S 4.929 3.907 4.650
S 7.983 2.315 4.650
S 5.618 6.109 1.518
S 5.731 1.811 1.517
S 9.399 4.059 1.518
Sc 3.458 1.996 0.244
Tb 3.458 1.997 5.885
Tb 6.916 3.993 2.684
Pr 10.373 5.989 3.505
```

symmetry = R3
DFT total energy = -64.936 eV/cell

Question: The highest DFT total energy belongs to which entry?
Answer: RbSCl3

Question: The highest DFT total energy belongs to which entry?
Answer: RbSCl3

Question: Number 11 is which compound?
Answer: BeNbBOs2

Question: Among the records above, which one has the lowest DFT total energy?
Answer: Th6HgP3Se2